Entry 1:
! Rb2CaCrO4, optimized geometry, DFT PBE with a Hubbard U; values from VASP
&SYSTEM
  ibrav = 0, nat = 16, ntyp = 4
/
ATOMIC_SPECIES
Rb 85.47 Rb.upf
Ca 40.08 Ca.upf
Cr 52.00 Cr.upf
O 16.00 O.upf
CELL_PARAMETERS angstrom
0.0000 6.1985 11.2382
2.8469 0.0000 11.2382
2.8469 6.1985 0.0000
ATOMIC_POSITIONS crystal
Rb 0.0617 0.0617 0.6883
Rb 0.3117 0.3117 0.9383
Rb 0.6883 0.6883 0.0617
Rb 0.9383 0.9383 0.3117
Ca 0.1250 0.1250 0.1250
Ca 0.8750 0.8750 0.8750
Cr 0.3750 0.3750 0.3750
Cr 0.6250 0.6250 0.6250
O 0.0460 0.6248 0.5277
O 0.3016 0.5277 0.6248
O 0.3752 0.9540 0.6984
O 0.4723 0.6984 0.9540
O 0.5277 0.3016 0.0460
O 0.6248 0.0460 0.3016
O 0.6984 0.4723 0.3752
O 0.9540 0.3752 0.4723
! * E_tot: -5.597 eV per atom
! * crystal system: orthorhombic

Entry 2:
! Ca2CrReO6, optimized geometry, DFT PBE with a Hubbard U; values from VASP
&SYSTEM
  ibrav = 0, nat = 20, ntyp = 4
/
ATOMIC_SPECIES
Ca 40.08 Ca.upf
Cr 52.00 Cr.upf
Re 186.21 Re.upf
O 16.00 O.upf
CELL_PARAMETERS angstrom
5.4150 0.0000 0.0000
0.0000 5.6077 0.0000
-5.4045 0.0000 7.7483
ATOMIC_POSITIONS crystal
Ca 0.2371 0.0526 0.2503
Ca 0.2371 0.4474 0.7503
Ca 0.7629 0.5526 0.2497
Ca 0.7629 0.9474 0.7497
Cr 0.5000 0.0000 0.0000
Cr 0.5000 0.5000 0.5000
Re 0.0000 0.0000 0.5000
Re 0.0000 0.5000 0.0000
O 0.1462 0.2061 0.9506
O 0.1462 0.2939 0.4506
O 0.2460 0.6997 0.9523
O 0.2460 0.8003 0.4523
O 0.3388 0.0319 0.7458
O 0.3388 0.4681 0.2458
O 0.6612 0.5319 0.7542
O 0.6612 0.9681 0.2542
O 0.7540 0.1997 0.5477
O 0.7540 0.3003 0.0477
O 0.8538 0.7061 0.5494
O 0.8538 0.7939 0.0494
! * E_tot: -7.626 eV per atom
! * crystal system: monoclinic

Entry 3:
! Ca2CrRhO6, optimized geometry, DFT PBE with a Hubbard U; values from VASP
&SYSTEM
  ibrav = 0, nat = 20, ntyp = 4
/
ATOMIC_SPECIES
Ca 40.08 Ca.upf
Cr 52.00 Cr.upf
Rh 102.91 Rh.upf
O 16.00 O.upf
CELL_PARAMETERS angstrom
5.3841 0.0000 0.0000
0.0000 5.5527 0.0000
-5.3786 0.0000 7.6904
ATOMIC_POSITIONS crystal
Ca 0.2376 0.0560 0.2511
Ca 0.2376 0.4440 0.7511
Ca 0.7624 0.5560 0.2489
Ca 0.7624 0.9440 0.7489
Cr 0.5000 0.0000 0.0000
Cr 0.5000 0.5000 0.5000
Rh 0.0000 0.0000 0.5000
Rh 0.0000 0.5000 0.0000
O 0.1496 0.2016 0.9513
O 0.1496 0.2984 0.4513
O 0.2534 0.7020 0.9523
O 0.2534 0.7980 0.4523
O 0.3435 0.0267 0.7501
O 0.3435 0.4733 0.2501
O 0.6565 0.5267 0.7499
O 0.6565 0.9733 0.2499
O 0.7466 0.2020 0.5477
O 0.7466 0.2980 0.0477
O 0.8504 0.7016 0.5487
O 0.8504 0.7984 0.0487
! * E_tot: -6.798 eV per atom
! * crystal system: monoclinic

Entry 4:
! CaCrS2O8, optimized geometry, DFT PBE with a Hubbard U; values from VASP
&SYSTEM
  ibrav = 0, nat = 12, ntyp = 4
/
ATOMIC_SPECIES
Ca 40.08 Ca.upf
Cr 52.00 Cr.upf
S 32.06 S.upf
O 16.00 O.upf
CELL_PARAMETERS angstrom
5.1880 0.0000 0.0000
-2.5940 4.4930 0.0000
0.0000 0.0000 6.8848
ATOMIC_POSITIONS crystal
Ca 0.0000 0.0000 0.0000
Cr 0.0000 0.0000 0.5000
S 0.3333 0.6667 0.7841
S 0.6667 0.3333 0.2159
O 0.1746 0.3521 0.7137
O 0.1775 0.8254 0.7137
O 0.3333 0.6667 0.9981
O 0.3521 0.1775 0.2863
O 0.6479 0.8225 0.7137
O 0.6667 0.3333 0.0019
O 0.8225 0.1746 0.2863
O 0.8254 0.6479 0.2863
! * E_tot: -6.541 eV per atom
! * crystal system: trigonal

Entry 5:
! Sr3CaCr2S2O5, optimized geometry, DFT PBE with a Hubbard U; values from VASP
&SYSTEM
  ibrav = 0, nat = 13, ntyp = 5
/
ATOMIC_SPECIES
Sr 87.62 Sr.upf
Ca 40.08 Ca.upf
Cr 52.00 Cr.upf
S 32.06 S.upf
O 16.00 O.upf
CELL_PARAMETERS angstrom
-1.9931 1.9931 14.1038
1.9931 -1.9931 14.1038
1.9931 1.9931 -14.1038
ATOMIC_POSITIONS crystal
Sr 0.0000 0.0000 0.0000
Sr 0.1310 0.1310 0.0000
Sr 0.8690 0.8690 0.0000
Ca 0.2500 0.7500 0.5000
Cr 0.4322 0.4322 0.0000
Cr 0.5678 0.5678 0.0000
S 0.3159 0.3159 0.0000
S 0.6841 0.6841 0.0000
O 0.0762 0.5762 0.5000
O 0.4238 0.9238 0.5000
O 0.5000 0.5000 0.0000
O 0.5760 0.0760 0.5000
O 0.9240 0.4240 0.5000
! * E_tot: -6.437 eV per atom
! * crystal system: tetragonal

Entry 6:
! CaCr2SbO6, optimized geometry, DFT PBE with a Hubbard U; values from VASP
&SYSTEM
  ibrav = 0, nat = 10, ntyp = 4
/
ATOMIC_SPECIES
Ca 40.08 Ca.upf
Cr 52.00 Cr.upf
Sb 121.76 Sb.upf
O 16.00 O.upf
CELL_PARAMETERS angstrom
2.7232 1.5722 4.5952
-2.7232 1.5722 4.5952
0.0000 -3.1444 4.5952
ATOMIC_POSITIONS crystal
Ca 0.0000 0.0000 0.0000
Cr 0.2252 0.2252 0.2252
Cr 0.7297 0.7297 0.7297
Sb 0.5187 0.5187 0.5187
O 0.0839 0.4603 0.8653
O 0.3849 0.9332 0.5647
O 0.4603 0.8653 0.0839
O 0.5647 0.3849 0.9332
O 0.8653 0.0839 0.4603
O 0.9332 0.5647 0.3849
! * E_tot: -7.046 eV per atom
! * crystal system: trigonal

Entry 7:
! Ca2CrSbO6, optimized geometry, DFT PBE with a Hubbard U; values from VASP
&SYSTEM
  ibrav = 0, nat = 20, ntyp = 4
/
ATOMIC_SPECIES
Ca 40.08 Ca.upf
Cr 52.00 Cr.upf
Sb 121.76 Sb.upf
O 16.00 O.upf
CELL_PARAMETERS angstrom
5.4704 0.0000 0.0000
0.0000 5.5975 0.0000
-5.4399 0.0000 7.7987
ATOMIC_POSITIONS crystal
Ca 0.2367 0.0497 0.2491
Ca 0.2367 0.4503 0.7491
Ca 0.7633 0.5497 0.2509
Ca 0.7633 0.9503 0.7509
Cr 0.0000 0.0000 0.5000
Cr 0.0000 0.5000 0.0000
Sb 0.5000 0.0000 0.0000
Sb 0.5000 0.5000 0.5000
O 0.1564 0.2030 0.9521
O 0.1564 0.2970 0.4521
O 0.2497 0.7071 0.9502
O 0.2497 0.7929 0.4502
O 0.3449 0.0301 0.7516
O 0.3449 0.4699 0.2516
O 0.6551 0.5301 0.7484
O 0.6551 0.9699 0.2484
O 0.7503 0.2071 0.5498
O 0.7503 0.2929 0.0498
O 0.8436 0.7030 0.5479
O 0.8436 0.7970 0.0479
! * E_tot: -6.831 eV per atom
! * crystal system: monoclinic

Entry 8:
! Ca2CrSbO6, optimized geometry, DFT PBE with a Hubbard U; values from VASP
&SYSTEM
  ibrav = 0, nat = 20, ntyp = 4
/
ATOMIC_SPECIES
Ca 40.08 Ca.upf
Cr 52.00 Cr.upf
Sb 121.76 Sb.upf
O 16.00 O.upf
CELL_PARAMETERS angstrom
5.4560 0.0000 0.0000
0.0000 7.8448 0.0000
-0.0021 0.0000 5.6065
ATOMIC_POSITIONS crystal
Ca 0.0046 0.2500 0.0411
Ca 0.4839 0.2500 0.5650
Ca 0.5161 0.7500 0.4350
Ca 0.9954 0.7500 0.9589
Cr 0.5000 0.0000 0.0000
Cr 0.5000 0.5000 0.0000
Sb 0.0000 0.0000 0.5000
Sb 0.0000 0.5000 0.5000
O 0.0989 0.7500 0.5313
O 0.1960 0.0494 0.7919
O 0.1960 0.4506 0.7919
O 0.2942 0.0490 0.3019
O 0.2942 0.4510 0.3019
O 0.4111 0.7500 0.0305
O 0.5889 0.2500 0.9695
O 0.7058 0.5490 0.6981
O 0.7058 0.9510 0.6981
O 0.8040 0.5494 0.2081
O 0.8040 0.9506 0.2081
O 0.9011 0.2500 0.4687
! * E_tot: -6.804 eV per atom
! * crystal system: monoclinic

Entry 9:
! CaCr2Si8O20, optimized geometry, DFT PBE with a Hubbard U; values from VASP
&SYSTEM
  ibrav = 0, nat = 62, ntyp = 4
/
ATOMIC_SPECIES
Ca 40.08 Ca.upf
Cr 52.00 Cr.upf
Si 28.09 Si.upf
O 16.00 O.upf
CELL_PARAMETERS angstrom
7.3520 0.0000 0.0000
0.0000 7.3520 0.0000
0.0000 0.0000 15.7074
ATOMIC_POSITIONS crystal
Ca 0.0000 0.0000 0.0000
Ca 0.5000 0.5000 0.5000
Cr 0.0000 0.5000 0.0808
Cr 0.0000 0.5000 0.5808
Cr 0.5000 0.0000 0.4192
Cr 0.5000 0.0000 0.9192
Si 0.1790 0.7320 0.3383
Si 0.1845 0.2523 0.8578
Si 0.2320 0.6790 0.8383
Si 0.2477 0.3155 0.3578
Si 0.2523 0.8155 0.1422
Si 0.2680 0.1790 0.6617
Si 0.3155 0.7523 0.6422
Si 0.3210 0.2320 0.1617
Si 0.6790 0.7680 0.1617
Si 0.6845 0.2477 0.6422
Si 0.7320 0.8210 0.6617
Si 0.7477 0.1845 0.1422
Si 0.7523 0.6845 0.3578
Si 0.7680 0.3210 0.8383
Si 0.8155 0.7477 0.8578
Si 0.8210 0.2680 0.3383
O 0.0320 0.2738 0.3706
O 0.0387 0.7764 0.8668
O 0.0993 0.2828 0.6184
O 0.1227 0.7386 0.0666
O 0.1802 0.7450 0.2346
O 0.2172 0.4007 0.1184
O 0.2236 0.0387 0.1332
O 0.2262 0.4680 0.8706
O 0.2386 0.6227 0.5666
O 0.2450 0.6802 0.7346
O 0.2550 0.1802 0.7654
O 0.2614 0.1227 0.9334
O 0.2738 0.9680 0.6294
O 0.2764 0.5387 0.3668
O 0.2828 0.9007 0.3816
O 0.3198 0.2450 0.2654
O 0.3773 0.2386 0.4334
O 0.4007 0.7828 0.8816
O 0.4613 0.2764 0.6332
O 0.4680 0.7738 0.1294
O 0.5320 0.2262 0.1294
O 0.5387 0.7236 0.6332
O 0.5993 0.2172 0.8816
O 0.6227 0.7614 0.4334
O 0.6802 0.7550 0.2654
O 0.7172 0.0993 0.3816
O 0.7236 0.4613 0.3668
O 0.7262 0.0320 0.6294
O 0.7386 0.8773 0.9334
O 0.7450 0.8198 0.7654
O 0.7550 0.3198 0.7346
O 0.7614 0.3773 0.5666
O 0.7738 0.5320 0.8706
O 0.7764 0.9613 0.1332
O 0.7828 0.5993 0.1184
O 0.8198 0.2550 0.2346
O 0.8773 0.2614 0.0666
O 0.9007 0.7172 0.6184
O 0.9613 0.2236 0.8668
O 0.9680 0.7262 0.3706
! * E_tot: -7.750 eV per atom
! * crystal system: tetragonal

Entry 10:
! Ca3Cr2Si3O12, optimized geometry, DFT PBE with a Hubbard U; values from VASP
&SYSTEM
  ibrav = 0, nat = 80, ntyp = 4
/
ATOMIC_SPECIES
Ca 40.08 Ca.upf
Cr 52.00 Cr.upf
Si 28.09 Si.upf
O 16.00 O.upf
CELL_PARAMETERS angstrom
-6.0800 6.0800 6.0800
6.0800 -6.0800 6.0800
6.0800 6.0800 -6.0800
ATOMIC_POSITIONS crystal
Ca 0.1250 0.2500 0.3750
Ca 0.1250 0.3750 0.7500
Ca 0.2500 0.3750 0.1250
Ca 0.2500 0.8750 0.6250
Ca 0.3750 0.1250 0.2500
Ca 0.3750 0.7500 0.1250
Ca 0.6250 0.2500 0.8750
Ca 0.6250 0.8750 0.7500
Ca 0.7500 0.1250 0.3750
Ca 0.7500 0.6250 0.8750
Ca 0.8750 0.6250 0.2500
Ca 0.8750 0.7500 0.6250
Cr 0.0000 0.0000 0.0000
Cr 0.0000 0.0000 0.5000
Cr 0.0000 0.5000 0.0000
Cr 0.0000 0.5000 0.5000
Cr 0.5000 0.0000 0.0000
Cr 0.5000 0.0000 0.5000
Cr 0.5000 0.5000 0.0000
Cr 0.5000 0.5000 0.5000
Si 0.1250 0.7500 0.8750
Si 0.1250 0.8750 0.2500
Si 0.2500 0.1250 0.8750
Si 0.2500 0.6250 0.3750
Si 0.3750 0.2500 0.6250
Si 0.3750 0.6250 0.7500
Si 0.6250 0.3750 0.2500
Si 0.6250 0.7500 0.3750
Si 0.7500 0.3750 0.6250
Si 0.7500 0.8750 0.1250
Si 0.8750 0.1250 0.7500
Si 0.8750 0.2500 0.1250
O 0.0089 0.2030 0.1161
O 0.0089 0.3058 0.8927
O 0.0869 0.7030 0.6942
O 0.0869 0.8839 0.3927
O 0.1073 0.6161 0.4131
O 0.1073 0.9911 0.6942
O 0.1161 0.0089 0.2030
O 0.1161 0.6073 0.9131
O 0.1942 0.2030 0.5869
O 0.1942 0.4911 0.6073
O 0.2030 0.1161 0.0089
O 0.2030 0.5869 0.1942
O 0.2970 0.3058 0.9131
O 0.2970 0.4911 0.3839
O 0.3058 0.8927 0.0089
O 0.3058 0.9131 0.2970
O 0.3839 0.2970 0.4911
O 0.3839 0.5869 0.8927
O 0.3927 0.0869 0.8839
O 0.3927 0.8058 0.5089
O 0.4131 0.1073 0.6161
O 0.4131 0.8058 0.7970
O 0.4911 0.3839 0.2970
O 0.4911 0.6073 0.1942
O 0.5089 0.3927 0.8058
O 0.5089 0.6161 0.7030
O 0.5869 0.1942 0.2030
O 0.5869 0.8927 0.3839
O 0.6073 0.1942 0.4911
O 0.6073 0.9131 0.1161
O 0.6161 0.4131 0.1073
O 0.6161 0.7030 0.5089
O 0.6942 0.0869 0.7030
O 0.6942 0.1073 0.9911
O 0.7030 0.5089 0.6161
O 0.7030 0.6942 0.0869
O 0.7970 0.4131 0.8058
O 0.7970 0.8839 0.9911
O 0.8058 0.5089 0.3927
O 0.8058 0.7970 0.4131
O 0.8839 0.3927 0.0869
O 0.8839 0.9911 0.7970
O 0.8927 0.0089 0.3058
O 0.8927 0.3839 0.5869
O 0.9131 0.1161 0.6073
O 0.9131 0.2970 0.3058
O 0.9911 0.6942 0.1073
O 0.9911 0.7970 0.8839
! * E_tot: -7.616 eV per atom
! * crystal system: cubic

Entry 11:
! Ca2CrSiO6, optimized geometry, DFT PBE with a Hubbard U; values from VASP
&SYSTEM
  ibrav = 0, nat = 10, ntyp = 4
/
ATOMIC_SPECIES
Ca 40.08 Ca.upf
Cr 52.00 Cr.upf
Si 28.09 Si.upf
O 16.00 O.upf
CELL_PARAMETERS angstrom
5.2332 0.0000 0.0000
2.5864 4.5503 0.0000
2.5872 1.5072 4.2930
ATOMIC_POSITIONS crystal
Ca 0.2502 0.2498 0.2497
Ca 0.7498 0.7502 0.7503
Cr 0.0000 0.0000 0.0000
Si 0.5000 0.5000 0.5000
O 0.2055 0.3137 0.7411
O 0.2614 0.7939 0.6868
O 0.3123 0.7409 0.2067
O 0.6877 0.2591 0.7933
O 0.7386 0.2061 0.3132
O 0.7945 0.6863 0.2589
! * E_tot: -7.174 eV per atom
! * crystal system: triclinic

Entry 12:
! CaCrSiO4, optimized geometry, DFT PBE with a Hubbard U; values from VASP
&SYSTEM
  ibrav = 0, nat = 14, ntyp = 4
/
ATOMIC_SPECIES
Ca 40.08 Ca.upf
Cr 52.00 Cr.upf
Si 28.09 Si.upf
O 16.00 O.upf
CELL_PARAMETERS angstrom
-2.9884 3.0684 4.2638
2.9884 -3.0684 4.2638
2.9884 3.0684 -4.2638
ATOMIC_POSITIONS crystal
Ca 0.5000 0.0000 0.0000
Ca 0.5000 0.5000 0.5000
Cr 0.0000 0.0000 0.0000
Cr 0.5000 0.0000 0.5000
Si 0.1144 0.3644 0.7500
Si 0.8856 0.6356 0.2500
O 0.2174 0.7477 0.4696
O 0.2219 0.2523 0.9696
O 0.2287 0.2460 0.5173
O 0.2287 0.7114 0.9827
O 0.7713 0.2886 0.0173
O 0.7713 0.7540 0.4827
O 0.7781 0.7477 0.0304
O 0.7826 0.2523 0.5304
! * E_tot: -7.257 eV per atom
! * crystal system: orthorhombic

Entry 13:
! SrCaCr2O8, optimized geometry, DFT PBE with a Hubbard U; values from VASP
&SYSTEM
  ibrav = 0, nat = 12, ntyp = 4
/
ATOMIC_SPECIES
Sr 87.62 Sr.upf
Ca 40.08 Ca.upf
Cr 52.00 Cr.upf
O 16.00 O.upf
CELL_PARAMETERS angstrom
-3.7548 3.7548 3.2282
3.7548 -3.7548 3.2282
3.7548 3.7548 -3.2282
ATOMIC_POSITIONS crystal
Sr 0.0000 0.0000 0.0000
Ca 0.2500 0.7500 0.5000
Cr 0.5000 0.5000 0.0000
Cr 0.7500 0.2500 0.5000
O 0.3458 0.1674 0.8216
O 0.3458 0.5242 0.1784
O 0.4162 0.0901 0.3262
O 0.4758 0.6542 0.8216
O 0.7639 0.0901 0.6738
O 0.8326 0.6542 0.1784
O 0.9099 0.2361 0.3262
O 0.9099 0.5838 0.6738
! * E_tot: -6.856 eV per atom
! * crystal system: tetragonal

Entry 14:
! CaTaCr2O6, optimized geometry, DFT PBE with a Hubbard U; values from VASP
&SYSTEM
  ibrav = 0, nat = 10, ntyp = 4
/
ATOMIC_SPECIES
Ca 40.08 Ca.upf
Ta 180.95 Ta.upf
Cr 52.00 Cr.upf
O 16.00 O.upf
CELL_PARAMETERS angstrom
5.2808 0.0000 0.0000
2.6253 4.6801 0.0000
0.0496 2.7888 4.9572
ATOMIC_POSITIONS crystal
Ca 0.0000 0.0000 0.0000
Ta 0.5283 0.9541 0.5554
Cr 0.2220 0.5667 0.6286
Cr 0.7266 0.5463 0.1575
O 0.1738 0.0158 0.3784
O 0.3403 0.1038 0.8164
O 0.4618 0.3990 0.3784
O 0.5690 0.5143 0.8355
O 0.8214 0.7459 0.3716
O 0.9258 0.7188 0.8379
! * E_tot: -8.305 eV per atom
! * crystal system: triclinic